Computed, not measured: a relaxed NaLaMg30O32 crystal at the PBE level of DFT.

abc: 8.630 8.634 8.634
angles: 90.00 90.00 90.00
Fractional positions:
1 Na 0.000 0.500 0.500
2 La 0.000 0.000 0.000
3 Mg 0.000 0.500 0.000
4 Mg 0.000 0.000 0.500
5 Mg 0.500 0.000 0.000
6 Mg 0.500 0.500 0.000
7 Mg 0.500 0.000 0.500
8 Mg 0.500 0.500 0.500
9 Mg 0.000 0.261 0.261
10 Mg 0.000 0.739 0.261
11 Mg 0.000 0.261 0.739
12 Mg 0.000 0.739 0.739
13 Mg 0.500 0.252 0.252
14 Mg 0.500 0.748 0.252
15 Mg 0.500 0.252 0.748
16 Mg 0.500 0.748 0.748
17 Mg 0.258 0.260 0.000
18 Mg 0.258 0.740 0.000
19 Mg 0.250 0.253 0.500
20 Mg 0.250 0.747 0.500
21 Mg 0.742 0.260 0.000
22 Mg 0.742 0.740 0.000
23 Mg 0.750 0.253 0.500
24 Mg 0.750 0.747 0.500
25 Mg 0.258 0.000 0.260
26 Mg 0.250 0.500 0.253
27 Mg 0.258 0.000 0.740
28 Mg 0.250 0.500 0.747
29 Mg 0.742 0.000 0.260
30 Mg 0.750 0.500 0.253
31 Mg 0.742 0.000 0.740
32 Mg 0.750 0.500 0.747
33 O 0.269 0.000 0.000
34 O 0.256 0.500 0.000
35 O 0.256 0.000 0.500
36 O 0.264 0.500 0.500
37 O 0.731 0.000 0.000
38 O 0.744 0.500 0.000
39 O 0.744 0.000 0.500
40 O 0.736 0.500 0.500
41 O 0.250 0.249 0.249
42 O 0.250 0.751 0.249
43 O 0.250 0.249 0.751
44 O 0.250 0.751 0.751
45 O 0.750 0.249 0.249
46 O 0.750 0.751 0.249
47 O 0.750 0.249 0.751
48 O 0.750 0.751 0.751
49 O 0.000 0.267 0.000
50 O 0.000 0.733 0.000
51 O 0.000 0.239 0.500
52 O 0.000 0.761 0.500
53 O 0.500 0.252 0.000
54 O 0.500 0.748 0.000
55 O 0.500 0.248 0.500
56 O 0.500 0.752 0.500
57 O 0.000 0.000 0.267
58 O 0.000 0.500 0.239
59 O 0.000 0.000 0.733
60 O 0.000 0.500 0.761
61 O 0.500 0.000 0.252
62 O 0.500 0.500 0.248
63 O 0.500 0.000 0.748
64 O 0.500 0.500 0.752

Summary:
total energy: -382.60 eV/f.u.
ΔE_f (raw): -2654 meV/atom
space-group type: No. 123


Computed, not measured: a relaxed NaLaMgTeO6 crystal at the PBE level of DFT.

abc: 5.602 5.602 5.617
angles: 59.78 59.78 59.94
Fractional positions:
1 Na 0.752 0.752 0.757
2 La 0.251 0.251 0.238
3 Mg 0.999 0.999 0.999
4 Te 0.501 0.501 0.499
5 O 0.214 0.695 0.787
6 O 0.298 0.790 0.219
7 O 0.790 0.298 0.219
8 O 0.695 0.214 0.787
9 O 0.739 0.739 0.341
10 O 0.261 0.261 0.653

Summary:
energy above the most stable polymorph in this dataset: 14 meV per atom
total energy: -62.54 eV/f.u.
ΔE_f (raw): -2181 meV/atom
space-group type: No. 8


Computed, not measured: a relaxed NaLaMgTeO6 crystal at the PBE level of DFT.

abc: 5.596 5.624 7.948
angles: 89.74 90.00 90.00
Fractional positions:
1 Na 0.250 0.765 0.499
2 Na 0.750 0.235 0.501
3 La 0.250 0.755 0.002
4 La 0.750 0.245 0.998
5 Mg 0.750 0.748 0.731
6 Mg 0.250 0.252 0.269
7 Te 0.250 0.255 0.744
8 Te 0.750 0.745 0.256
9 O 0.250 0.188 0.993
10 O 0.750 0.812 0.007
11 O 0.250 0.335 0.514
12 O 0.750 0.665 0.486
13 O 0.496 0.016 0.732
14 O 0.996 0.984 0.268
15 O 0.504 0.984 0.268
16 O 0.004 0.016 0.732
17 O 0.509 0.504 0.197
18 O 0.009 0.496 0.803
19 O 0.491 0.496 0.803
20 O 0.991 0.504 0.197

Summary:
energy above the most stable polymorph in this dataset: 0 meV per atom
total energy: -62.68 eV/f.u.
ΔE_f (raw): -2195 meV/atom
space-group type: No. 11